Density functional theory data (GGA-PBE) for crystalline NaNbSiC2 at its relaxed geometry.

a = 4.1464 Å, b = 5.8033 Å, c = 4.1464 Å
α = 90.00°, β = 90.00°, γ = 90.00°
With the nearest neighbours (Å) after each atom.
Fractional coordinates of all 5 atoms:
C 0.5000 0.0000 0.0000  2 Nb 2.07
C 0.0000 0.0000 0.5000  2 Nb 2.07
Nb 0.0000 0.0000 0.0000  4 C 2.07
Si 0.5000 0.5000 0.5000  4 Na 2.93
Na 0.0000 0.5000 0.0000  2 Nb 2.90, 4 Si 2.93

Properties
Its magnetization is 0.00 μB per atom. The symmetry is P4/mmm, No. 123. As for the uncorrected formation energy: 43.58 kcal/mol of atoms.

***

Density functional theory data (GGA-PBE) for crystalline Be2HgAs at its relaxed geometry.

a = 5.6616 Å, b = 5.6616 Å, c = 6.3542 Å
α = 63.54°, β = 63.54°, γ = 90.00°
With the nearest neighbours (Å) after each atom.
Fractional coordinates of all 8 atoms:
Hg 0.7500 0.2500 0.5000  4 Be 2.56
Hg 0.0000 0.0000 0.0000  4 Be 2.56
Be 0.1820 0.6250 0.2500  2 As 2.17
Be 0.3750 0.4320 0.7500  2 As 2.17
Be 0.8750 0.8180 0.7500  2 As 2.17
Be 0.5680 0.1250 0.2500  2 As 2.17
As 0.5000 0.5000 0.0000  4 Be 2.17
As 0.2500 0.7500 0.5000  4 Be 2.17

Properties
The value obtained for the formation energy is 315 meV/atom. Its magnetization is 0.00 μB per atom. The symmetry is I-42d, No. 122.

***

Density functional theory data (GGA-PBE) for crystalline RbSr2TcAu at its relaxed geometry.

a = 6.0634 Å, b = 4.6790 Å, c = 6.0634 Å
α = 90.00°, β = 90.00°, γ = 90.00°
With the nearest neighbours (Å) after each atom.
Fractional coordinates of all 5 atoms:
Rb 0.0000 0.0000 0.0000  2 Tc 2.34
Sr 0.5000 0.0000 0.0000  2 Rb 3.03
Sr 0.0000 0.0000 0.5000  2 Rb 3.03
Au 0.5000 0.5000 0.5000  8 Sr 3.83, 4 Tc 4.29
Tc 0.0000 0.5000 0.0000  2 Rb 2.34

Properties
The value obtained for the formation energy is 1476 meV/atom. Its magnetization is 0.00 μB per atom. The symmetry is P4/mmm, No. 123.

***

Density functional theory data (GGA-PBE) for crystalline CsTlCo2Br8 at its relaxed geometry.

a = 7.1536 Å, b = 7.1536 Å, c = 11.1217 Å
α = 71.24°, β = 71.24°, γ = 60.00°
With the nearest neighbours (Å) after each atom.
Fractional coordinates of all 12 atoms:
Br 0.5544 0.3138 0.1889  1 Co 2.33
Br 0.3138 0.9429 0.1889  1 Co 2.33
Br 0.1707 0.1707 0.4880  1 Co 2.32
Br 0.9429 0.5544 0.1889  1 Co 2.33
Br 0.4456 0.6862 0.8111  1 Co 2.33
Br 0.8293 0.8293 0.5120  1 Co 2.32
Br 0.0571 0.4456 0.8111  1 Co 2.33
Br 0.6862 0.0571 0.8111  1 Co 2.33
Co 0.2456 0.2456 0.2632  4 Br 2.32-2.33
Co 0.7544 0.7544 0.7368  4 Br 2.32-2.33
Tl 0.0000 0.0000 0.0000  6 Br 3.34
Cs 0.5000 0.5000 0.5000  12 Br 3.93-4.13

Properties
Its magnetization is 0.67 μB per atom. The symmetry is R-3, No. 148. As for the uncorrected formation energy: -14.95 kcal/mol of atoms.

***

Density functional theory data (GGA-PBE) for crystalline Cs2TlPtI6 at its relaxed geometry.

a = 8.3559 Å, b = 8.3559 Å, c = 15.9819 Å
α = 74.85°, β = 74.85°, γ = 60.00°
With the nearest neighbours (Å) after each atom.
Fractional coordinates of all 20 atoms:
Pt 0.5000 0.5000 0.5000  6 I 2.81
Pt 0.0000 0.0000 0.0000  6 I 2.77
I 0.8101 0.2723 0.1074  1 Pt 2.77
I 0.8572 0.3726 0.3977  1 Pt 2.81
I 0.1899 0.7277 0.8926  1 Pt 2.77
I 0.6274 0.6274 0.6023  1 Pt 2.81
I 0.3726 0.8572 0.3977  1 Pt 2.81
I 0.3726 0.3726 0.3977  1 Pt 2.81
I 0.8101 0.8101 0.1074  1 Pt 2.77
I 0.6274 0.1428 0.6023  1 Pt 2.81
I 0.7277 0.1899 0.8926  1 Pt 2.77
I 0.1428 0.6274 0.6023  1 Pt 2.81
I 0.1899 0.1899 0.8926  1 Pt 2.77
I 0.2723 0.8101 0.1074  1 Pt 2.77
Tl 0.4142 0.4142 0.7575  6 I 3.31-3.33
Tl 0.5858 0.5858 0.2425  6 I 3.31-3.33
Cs 0.6981 0.6981 0.9056  9 I 4.02-4.19
Cs 0.3019 0.3019 0.0944  9 I 4.02-4.19
Cs 0.8733 0.8733 0.3801  9 I 4.19-4.20
Cs 0.1267 0.1267 0.6199  9 I 4.19-4.20

Properties
Its magnetization is 0.04 μB per atom. The symmetry is R-3m, No. 166. As for the uncorrected formation energy: -17.67 kcal/mol of atoms.

***

Density functional theory data (GGA-PBE) for crystalline LaEr2In2Hg2 at its relaxed geometry.

a = 4.9724 Å, b = 4.9724 Å, c = 9.4451 Å
α = 74.74°, β = 74.74°, γ = 60.00°
With the nearest neighbours (Å) after each atom.
Fractional coordinates of all 7 atoms:
Hg 0.5660 0.5660 0.3020  3 In 2.99, 3 Er 3.00
Hg 0.4340 0.4340 0.6980  3 In 2.99, 3 Er 3.00
In 0.2636 0.2636 0.2092  3 Hg 2.99, 3 Er 3.35
In 0.7364 0.7364 0.7908  3 Hg 2.99, 3 Er 3.35
Er 0.1335 0.1335 0.5996  3 Hg 3.00, 3 In 3.35
Er 0.8665 0.8665 0.4004  3 Hg 3.00, 3 In 3.35
La 0.0000 0.0000 0.0000  6 In 3.43, 2 Er 3.60

Properties
The value obtained for the formation energy is -327 meV/atom. Its magnetization is 0.00 μB per atom. The symmetry is R-3m, No. 166.

***

Density functional theory data (GGA-PBE) for crystalline SrAs2Br at its relaxed geometry.

a = 8.2843 Å, b = 8.2843 Å, c = 8.2843 Å
α = 31.38°, β = 31.38°, γ = 31.38°
With the nearest neighbours (Å) after each atom.
Fractional coordinates of all 4 atoms:
As 0.9762 0.9762 0.9762  3 As 2.59
As 0.3062 0.3062 0.3062  3 As 2.59
Sr 0.7402 0.7402 0.7402  3 Br 3.08
Br 0.4774 0.4774 0.4774  3 Sr 3.08

Properties
Its magnetization is 0.00 μB per atom. The symmetry is R3m, No. 160. As for the uncorrected formation energy: -20.62 kcal/mol of atoms.

***

Density functional theory data (GGA-PBE) for crystalline InCu4Ir at its relaxed geometry.

a = 4.8779 Å, b = 4.8779 Å, c = 4.8779 Å
α = 60.00°, β = 60.00°, γ = 60.00°
With the nearest neighbours (Å) after each atom.
Fractional coordinates of all 6 atoms:
In 0.7500 0.7500 0.7500  12 Cu 2.86, 4 Ir 2.99
Cu 0.3745 0.3745 0.8766  6 Cu 2.43-2.45
Cu 0.3745 0.3745 0.3745  6 Cu 2.43-2.45
Cu 0.3745 0.8766 0.3745  6 Cu 2.43-2.45
Cu 0.8766 0.3745 0.3745  6 Cu 2.43-2.45
Ir 0.0000 0.0000 0.0000  12 Cu 2.86, 4 In 2.99

Properties
The value obtained for the formation energy is 77 meV/atom. Its magnetization is 0.00 μB per atom. The symmetry is F-43m, No. 216.

***

Density functional theory data (GGA-PBE) for crystalline BaPtBr2 at its relaxed geometry.

a = 6.6089 Å, b = 6.6089 Å, c = 6.6089 Å
α = 141.18°, β = 141.18°, γ = 56.06°
With the nearest neighbours (Å) after each atom.
Fractional coordinates of all 4 atoms:
Ba 0.7500 0.2500 0.5000  4 Br 3.11
Pt 0.5000 0.5000 0.0000  4 Br 3.11
Br 0.2500 0.7500 0.5000  4 Ba 3.11
Br 0.0000 0.0000 0.0000  4 Pt 3.11

Properties
Its magnetization is 0.00 μB per atom. The symmetry is I-4m2, No. 119. As for the uncorrected formation energy: -16.69 kcal/mol of atoms.

***

Density functional theory data (GGA-PBE) for crystalline AlAs2P at its relaxed geometry.

a = 4.6104 Å, b = 4.6104 Å, c = 4.6104 Å
α = 60.00°, β = 60.00°, γ = 60.00°
With the nearest neighbours (Å) after each atom.
Fractional coordinates of all 4 atoms:
P 0.7500 0.7500 0.7500  4 Al 2.82, 4 As 2.82
Al 0.5000 0.5000 0.5000  4 As 2.82, 4 P 2.82
As 0.0000 0.0000 0.0000  4 As 2.82, 4 P 2.82
As 0.2500 0.2500 0.2500  4 As 2.82, 4 Al 2.82

Properties
The value obtained for the formation energy is 364 meV/atom. Its magnetization is 0.00 μB per atom. The symmetry is F-43m, No. 216.

***

Density functional theory data (GGA-PBE) for crystalline Be2IrRh at its relaxed geometry.

a = 4.8614 Å, b = 4.8614 Å, c = 4.8614 Å
α = 146.42°, β = 134.18°, γ = 58.00°
With the nearest neighbours (Å) after each atom.
Fractional coordinates of all 4 atoms:
Be 0.9927 0.9927 0.0000  4 Ir 2.36, 2 Be 2.45, 2 Rh 2.56
Be 0.7563 0.2563 0.5000  4 Rh 2.36, 2 Be 2.45, 2 Ir 2.55
Rh 0.2447 0.7447 0.5000  6 Be 2.36-2.56, 2 Ir 2.63
Ir 0.5063 0.5063 0.0000  6 Be 2.36-2.55, 2 Rh 2.63

Properties
The value obtained for the formation energy is -372 meV/atom. Its magnetization is 0.00 μB per atom. The symmetry is Imm2, No. 44.

***

Density functional theory data (GGA-PBE) for crystalline UTlNi2S4 at its relaxed geometry.

a = 6.4372 Å, b = 5.7295 Å, c = 5.7295 Å
α = 68.97°, β = 55.82°, γ = 55.82°
With the nearest neighbours (Å) after each atom.
Fractional coordinates of all 8 atoms:
S 0.9939 0.5056 0.0054  2 Ni 2.29
S 0.0061 0.9946 0.4944  2 Ni 2.29
S 0.4952 0.0054 0.5056  2 Ni 2.29
S 0.5049 0.4944 0.9946  2 Ni 2.29
U 0.5000 0.5000 0.5000  8 S 2.84-2.89
Ni 0.2257 0.2743 0.2743  4 S 2.29
Ni 0.7743 0.7257 0.7257  4 S 2.29
Tl 0.0000 0.0000 0.0000  8 S 2.84-2.89

Properties
Its magnetization is 0.18 μB per atom. The symmetry is I222, No. 23. As for the uncorrected formation energy: -11.06 kcal/mol of atoms.